(1)
A relaxed ZrAl2Ag crystal. Source: the Alexandria database, functional PBE.

The distance to the lowest polymorph of the same formula comes out at 260 meV per atom. The energy relative to the elements is -0.11 eV/atom.

It has space group Fm-3m (No. 225), with a = 6.5994 Å, b = 6.5994 Å, c = 6.5994 Å, α = 90.00°, β = 90.00° and γ = 90.00°. Symmetry generates all atoms from Zr at (0.0000, 0.0000, 0.0000), Al at (0.2500, 0.2500, 0.2500) and Ag at (0.0000, 0.0000, 0.5000).


(2)
A relaxed ZrAl2Ag crystal. Source: the Alexandria database, functional PBE.

The distance to the lowest polymorph of the same formula comes out at 116 meV per atom. The energy relative to the elements is -0.25 eV/atom.

It has space group Pmmm (No. 47), with a = 3.0522 Å, b = 4.3368 Å, c = 5.6986 Å, α = 90.00°, β = 90.00° and γ = 90.00°. Symmetry generates all atoms from Zr at (0.0000, 0.0000, 0.0000), Al at (0.5000, 0.5000, 0.2380) and Ag at (0.5000, 0.0000, 0.5000).


(3)
A relaxed Zr2AlAg crystal. Source: the Alexandria database, functional PBE.

The energy relative to the elements is -0.07 eV/atom.

It has space group P2/m (No. 10), with a = 5.1411 Å, b = 3.0841 Å, c = 5.3024 Å, α = 90.00°, β = 106.61° and γ = 90.00°. Symmetry generates all atoms from Zr at (0.0000, 0.0000, 0.0000), Zr at (0.5000, 0.5000, 0.0000), Al at (0.0000, 0.5000, 0.5000) and Ag at (0.5000, 0.0000, 0.5000).


(4)
A relaxed Zr2AlAg crystal. Source: the Alexandria database, functional PBE.

The energy relative to the elements is -0.15 eV/atom.

It has space group I-4m2 (No. 119), with a = 4.1405 Å, b = 4.1405 Å, c = 9.2923 Å, α = 90.00°, β = 90.00° and γ = 90.00°. Symmetry generates all atoms from Zr at (0.0000, 0.0000, 0.0000), Zr at (0.0000, 0.5000, 0.2500), Al at (0.0000, 0.0000, 0.5000) and Ag at (0.0000, 0.5000, 0.7500).


What did we get for volume? Answer: 287.41, 75.43, 80.56, 159.30 Å³/cell, in the order shown.